(1)
A plane-wave DFT calculation with PBEsol was carried out for crystalline MgSbN2F at its relaxed geometry.

```
MgSbN2F
1.0
4.048 0.000 0.000
0.000 4.048 0.000
0.000 0.000 4.051
N F Sb Mg
2 1 1 1
Cartesian
2.024 0.000 0.000
0.000 2.024 0.000
0.000 0.000 2.025
0.000 0.000 0.000
2.024 2.024 2.025
```

- Spin magnetization: 0.0 μB per cell
- ΔE_f (raw): -90 meV per atom
- Space-group type: P4/mmm, No. 123



(2)
A plane-wave DFT calculation with PBEsol was carried out for crystalline KZn2Re at its relaxed geometry.

```
KZn2Re
1.0
2.681 0.000 0.000
0.000 3.949 0.000
0.000 0.000 7.270
Zn Re K
2 1 1
Cartesian
0.000 0.000 4.863
0.000 0.000 2.407
1.340 1.975 3.635
1.340 1.975 0.000
```

- Spin magnetization: 0.0 μB per cell
- Excess energy over the best structure of this formula in the dataset: 0 meV per atom
- Space-group type: Pmmm, No. 47



(3)
A plane-wave DFT calculation with PBEsol was carried out for crystalline Zn2ReCl at its relaxed geometry.

```
Zn2ReCl
1.0
-0.776 -2.656 -2.348
-2.312 -1.444 2.396
-1.698 4.472 -1.693
Zn Cl Re
2 1 1
Cartesian
-2.777 0.490 0.364
-2.009 -0.116 -2.009
-1.544 -2.050 0.024
0.000 0.000 0.000
```

- Spin magnetization: 0.1 μB per cell
- Excess energy over the best structure of this formula in the dataset: 648 meV per atom
- ΔE_f (raw): 800 meV per atom
- Space-group type: I4/mmm, No. 139